{
  "formula": "PuMnCdO4",
  "functional": "PBE with a Hubbard U",
  "state": "relaxed",
  "lattice_angstrom": [[-3.2581, 3.4722, 4.6182], [3.2581, -3.4722, 4.6182], [3.2581, 3.4722, -4.6182]],
  "species": ["Pu", "Pu", "Mn", "Mn", "Cd", "Cd", "O", "O", "O", "O", "O", "O", "O", "O"],
  "fractional_positions": [[0.0000, 0.0000, 0.0000], [0.5000, 0.0000, 0.5000], [0.5000, 0.0000, 0.0000], [0.5000, 0.5000, 0.5000], [0.1106, 0.3606, 0.7500], [0.8894, 0.6394, 0.2500], [0.2546, 0.2266, 0.4721], [0.2546, 0.7825, 0.0279], [0.2671, 0.2361, 0.0309], [0.2948, 0.7639, 0.5309], [0.7052, 0.2361, 0.4691], [0.7329, 0.7639, 0.9691], [0.7454, 0.2175, 0.9721], [0.7454, 0.7734, 0.5279]],
  "crystal_system": "orthorhombic",
  "energy_ha_per_atom": -0.298
}